Entry 1
MgSiHg3 (PBE-GGA, optimized geometry); volume = 140.5 Å³/f.u.; Fermi-level density of states = 3.1 states/eV/f.u.; magnetic moment = 0.00 μB/f.u.
1.0
5.1982 0.0000 0.0000
0.0000 5.1982 0.0000
0.0000 0.0000 5.1982
Hg Mg Si
3 1 1
direct
0.0000 0.5000 0.0000 Hg
0.0000 0.0000 0.5000 Hg
0.5000 0.0000 0.0000 Hg
0.5000 0.5000 0.5000 Mg
0.0000 0.0000 0.0000 Si

Entry 2
MgSiHg3 (PBE-GGA, optimized geometry); volume = 146.0 Å³/f.u.; Fermi-level density of states = 4.2 states/eV/f.u.; magnetic moment = 0.00 μB/f.u.
1.0
5.2660 0.0000 0.0000
0.0000 5.2660 0.0000
0.0000 0.0000 5.2660
Mg Si Hg
1 1 3
direct
0.0000 0.0000 0.0000 Mg
0.5000 0.5000 0.5000 Si
0.0000 0.0000 0.5000 Hg
0.0000 0.5000 0.0000 Hg
0.5000 0.0000 0.0000 Hg

Most stable structure: entry 1